(1)
# PBE Dy2Sc2Se3, relaxed
# ΔE_f (raw) = -1320 meV/atom
# DOS at the Fermi energy = 5.92 states/eV/f.u.
# E = -41.6 eV for the cell shown
# Mass density = 6.1 g cm⁻³
# Space group = No. 12
data_Dy2Sc2Se3
_chemical_formula_sum 'Dy2 Sc2 Se3'
_space_group_name_H-M_alt 'P 1'
_space_group_IT_number 1
_cell_length_a 3.807
_cell_length_b 7.229
_cell_length_c 6.940
_cell_angle_alpha 83.77
_cell_angle_beta 74.08
_cell_angle_gamma 74.73
loop_
_space_group_symop_operation_xyz
'x,y,z'
loop_
_atom_site_label
_atom_site_type_symbol
_atom_site_fract_x
_atom_site_fract_y
_atom_site_fract_z
Dy1 Dy 0.569 0.146 0.716
Dy2 Dy 0.431 0.854 0.284
Sc1 Sc 0.751 0.355 0.143
Sc2 Sc 0.249 0.645 0.857
Se1 Se 0.000 0.000 0.000
Se2 Se 0.831 0.751 0.586
Se3 Se 0.169 0.249 0.414



(2)
# PBE MgZn4In, relaxed
# DOS at the Fermi energy = 1.33 states/eV/f.u.
# E = -9.6 eV for the cell shown
# Mass density = 6.2 g cm⁻³
# Space group = No. 216
# Energy relative to the elements = -21.1 meV/atom
data_MgZn4In
_chemical_formula_sum 'Mg1 Zn4 In1'
_space_group_name_H-M_alt 'P 1'
_space_group_IT_number 1
_cell_length_a 5.337
_cell_length_b 5.337
_cell_length_c 5.337
_cell_angle_alpha 60.00
_cell_angle_beta 60.00
_cell_angle_gamma 60.00
loop_
_space_group_symop_operation_xyz
'x,y,z'
loop_
_atom_site_label
_atom_site_type_symbol
_atom_site_fract_x
_atom_site_fract_y
_atom_site_fract_z
In1 In 0.250 0.250 0.250
Mg1 Mg 0.000 0.000 0.000
Zn1 Zn 0.122 0.626 0.626
Zn2 Zn 0.626 0.626 0.626
Zn3 Zn 0.626 0.122 0.626
Zn4 Zn 0.626 0.626 0.122



(3)
# PBE AcCuTeRh, relaxed
# ΔE_f (raw) = -328 meV/atom
# DOS at the Fermi energy = 2.53 states/eV/f.u.
# E = -20.0 eV for the cell shown
# Mass density = 9.7 g cm⁻³
# Space group = No. 216
data_AcCuTeRh
_chemical_formula_sum 'Ac1 Cu1 Te1 Rh1'
_space_group_name_H-M_alt 'P 1'
_space_group_IT_number 1
_cell_length_a 5.011
_cell_length_b 5.011
_cell_length_c 5.011
_cell_angle_alpha 60.00
_cell_angle_beta 60.00
_cell_angle_gamma 60.00
loop_
_space_group_symop_operation_xyz
'x,y,z'
loop_
_atom_site_label
_atom_site_type_symbol
_atom_site_fract_x
_atom_site_fract_y
_atom_site_fract_z
Ac1 Ac 0.500 0.500 0.500
Te1 Te 0.000 0.000 0.000
Rh1 Rh 0.250 0.250 0.250
Cu1 Cu 0.750 0.750 0.750



(4)
# PBE TlSnH, relaxed
# Distance to the lowest polymorph of the same formula = 220.3 meV per atom
# DOS at the Fermi energy = 0.84 states/eV/f.u.
# E = -35.7 eV for the cell shown
# Mass density = 8.2 g cm⁻³
# Space group = No. 62
data_TlSnH
_chemical_formula_sum 'Tl4 Sn4 H4'
_space_group_name_H-M_alt 'P 1'
_space_group_IT_number 1
_cell_length_a 7.043
_cell_length_b 3.529
_cell_length_c 10.595
_cell_angle_alpha 90.00
_cell_angle_beta 90.00
_cell_angle_gamma 90.00
loop_
_space_group_symop_operation_xyz
'x,y,z'
loop_
_atom_site_label
_atom_site_type_symbol
_atom_site_fract_x
_atom_site_fract_y
_atom_site_fract_z
H1 H 0.716 0.250 0.442
H2 H 0.784 0.750 0.942
H3 H 0.284 0.750 0.558
H4 H 0.216 0.250 0.058
Tl1 Tl 0.011 0.250 0.779
Tl2 Tl 0.489 0.750 0.279
Tl3 Tl 0.989 0.750 0.221
Tl4 Tl 0.511 0.250 0.721
Sn1 Sn 0.192 0.250 0.475
Sn2 Sn 0.308 0.750 0.975
Sn3 Sn 0.808 0.750 0.525
Sn4 Sn 0.692 0.250 0.025



Repeat the first record exactly.
# PBE Dy2Sc2Se3, relaxed
# ΔE_f (raw) = -1320 meV/atom
# DOS at the Fermi energy = 5.92 states/eV/f.u.
# E = -41.6 eV for the cell shown
# Mass density = 6.1 g cm⁻³
# Space group = No. 12
data_Dy2Sc2Se3
_chemical_formula_sum 'Dy2 Sc2 Se3'
_space_group_name_H-M_alt 'P 1'
_space_group_IT_number 1
_cell_length_a 3.807
_cell_length_b 7.229
_cell_length_c 6.940
_cell_angle_alpha 83.77
_cell_angle_beta 74.08
_cell_angle_gamma 74.73
loop_
_space_group_symop_operation_xyz
'x,y,z'
loop_
_atom_site_label
_atom_site_type_symbol
_atom_site_fract_x
_atom_site_fract_y
_atom_site_fract_z
Dy1 Dy 0.569 0.146 0.716
Dy2 Dy 0.431 0.854 0.284
Sc1 Sc 0.751 0.355 0.143
Sc2 Sc 0.249 0.645 0.857
Se1 Se 0.000 0.000 0.000
Se2 Se 0.831 0.751 0.586
Se3 Se 0.169 0.249 0.414